[1]
## BaCu2Os (SCAN)

Data for a crystal of BaCu2Os relaxed with PBEsol.

Cell lengths 3.111, 3.115, 7.418 Å; angles 90.00, 90.00, 90.00 degrees
Element x y z (fractional)
Ba1 0.500 0.500 0.749
Cu1 0.000 0.000 0.082
Cu2 0.500 0.500 0.247
Os1 0.000 0.000 0.422

Computed properties:
Its distance to the lowest polymorph of the same formula is 0.444 eV/atom. As for the magnetic moment: 0.61 μB/cell. The mass density is 10.50 Mg/m³. The formation energy comes out at 3.03 eV/f.u.



[2]
## BaCu2Os (SCAN)

Data for a crystal of BaCu2Os relaxed with PBEsol.

Cell lengths 4.252, 4.251, 6.030 Å; angles 110.72, 90.00, 120.01 degrees
Element x y z (fractional)
Ba1 0.753 0.505 0.256
Cu1 0.933 0.865 0.798
Cu2 0.246 0.492 0.739
Os1 0.569 0.138 0.707

Computed properties:
Its distance to the lowest polymorph of the same formula is 0.000 eV/atom. As for the magnetic moment: 0.00 μB/cell. The mass density is 8.76 Mg/m³. The formation energy comes out at 1.25 eV/f.u.



[3]
## BaSr2CuOs (SCAN)

Data for a crystal of BaSr2CuOs relaxed with PBEsol.

Cell lengths 4.948, 5.690, 5.690 Å; angles 90.00, 90.00, 90.00 degrees
Element x y z (fractional)
Sr1 0.000 0.000 0.500
Sr2 0.000 0.500 0.000
Os1 0.000 0.000 0.000
Ba1 0.500 0.500 0.500
Cu1 0.500 0.000 0.000

Computed properties:
As for the magnetic moment: 0.44 μB/cell. The mass density is 5.87 Mg/m³. The formation energy comes out at 3.03 eV/f.u.



[4]
## BaTiCu2Os (SCAN)

Data for a crystal of BaTiCu2Os relaxed with PBEsol.

Cell lengths 4.765, 4.765, 5.283 Å; angles 90.00, 90.00, 90.00 degrees
Element x y z (fractional)
Os1 0.000 0.000 0.000
Ba1 0.000 0.000 0.500
Cu1 0.000 0.500 0.000
Cu2 0.500 0.000 0.000
Ti1 0.500 0.500 0.500

Computed properties:
As for the magnetic moment: 2.66 μB/cell. The mass density is 6.96 Mg/m³. The formation energy comes out at 6.90 eV/f.u.



[5]
## BaCu2P4 (SCAN)

Data for a crystal of BaCu2P4 relaxed with PBEsol.

Cell lengths 5.393, 5.722, 9.809 Å; angles 82.56, 74.04, 61.88 degrees
Element x y z (fractional)
Ba1 0.500 0.000 0.000
Ba2 0.250 0.500 0.500
Cu1 0.872 0.500 0.257
Cu2 0.878 0.000 0.243
Cu3 0.628 0.500 0.743
Cu4 0.122 0.000 0.757
P1 0.931 0.381 0.891
P2 0.178 0.619 0.891
P3 0.547 0.881 0.391
P4 0.203 0.619 0.109
P5 0.062 0.119 0.391
P6 0.572 0.881 0.609
P7 0.688 0.381 0.109
P8 0.819 0.119 0.609

Computed properties:
As for the magnetic moment: 0.00 μB/cell. The mass density is 5.02 Mg/m³. The formation energy comes out at -3.80 eV/f.u.



[6]
## BaCu2P (SCAN)

Data for a crystal of BaCu2P relaxed with PBEsol.

Cell lengths 3.265, 3.265, 6.962 Å; angles 90.00, 90.00, 90.00 degrees
Element x y z (fractional)
Ba1 0.500 0.500 0.500
Cu1 0.000 0.000 0.832
Cu2 0.000 0.000 0.168
P1 0.500 0.500 0.000

Computed properties:
As for the magnetic moment: 0.00 μB/cell. The mass density is 6.61 Mg/m³. The formation energy comes out at 1.23 eV/f.u.



[7]
## Ba2CuP (SCAN)

Data for a crystal of Ba2CuP relaxed with PBEsol.

Cell lengths 5.316, 5.316, 5.316 Å; angles 60.00, 60.00, 60.00 degrees
Element x y z (fractional)
Ba1 0.000 0.000 0.000
Ba2 0.750 0.750 0.750
Cu1 0.500 0.500 0.500
P1 0.250 0.250 0.250

Computed properties:
As for the magnetic moment: 0.00 μB/cell. The mass density is 5.77 Mg/m³. The formation energy comes out at 0.09 eV/f.u.



[8]
## BaCu2P (SCAN)

Data for a crystal of BaCu2P relaxed with PBEsol.

Cell lengths 3.963, 4.739, 4.764 Å; angles 90.00, 90.00, 90.00 degrees
Element x y z (fractional)
Ba1 0.500 0.500 0.000
Cu1 0.000 0.751 0.500
Cu2 0.000 0.249 0.500
P1 0.500 0.000 0.500

Computed properties:
As for the magnetic moment: 0.00 μB/cell. The mass density is 5.48 Mg/m³. The formation energy comes out at -1.43 eV/f.u.



[9]
## BaCu2P (SCAN)

Data for a crystal of BaCu2P relaxed with PBEsol.

Cell lengths 4.058, 4.062, 6.085 Å; angles 109.48, 90.00, 119.97 degrees
Element x y z (fractional)
Ba1 0.247 0.494 0.741
Cu1 0.057 0.115 0.172
Cu2 0.753 0.506 0.259
P1 0.443 0.885 0.328

Computed properties:
As for the magnetic moment: 0.00 μB/cell. The mass density is 6.12 Mg/m³. The formation energy comes out at -1.38 eV/f.u.



[10]
## BaCu2P (SCAN)

Data for a crystal of BaCu2P relaxed with PBEsol.

Cell lengths 4.121, 4.240, 5.072 Å; angles 99.63, 90.00, 90.00 degrees
Element x y z (fractional)
Ba1 0.500 0.237 0.729
Cu1 0.000 0.014 0.194
Cu2 0.500 0.710 0.242
P1 0.000 0.539 0.335

Computed properties:
As for the magnetic moment: 0.00 μB/cell. The mass density is 5.61 Mg/m³. The formation energy comes out at -1.55 eV/f.u.



[11]
## BaCuPS2 (SCAN)

Data for a crystal of BaCuPS2 relaxed with PBEsol.

Cell lengths 5.688, 5.688, 5.843 Å; angles 90.00, 90.00, 90.00 degrees
Element x y z (fractional)
P1 0.000 0.000 0.500
S1 0.000 0.500 0.000
S2 0.500 0.000 0.000
Ba1 0.000 0.000 0.000
Cu1 0.500 0.500 0.500

Computed properties:
The calculation puts the total DFT energy (no corrections) at -15.742 eV/atom. As for the magnetic moment: 3.94 μB/cell. The mass density is 2.60 Mg/m³.



[12]
## BaCu2Pb (SCAN)

Data for a crystal of BaCu2Pb relaxed with PBEsol.

Cell lengths 5.114, 5.114, 5.114 Å; angles 60.00, 60.00, 60.00 degrees
Element x y z (fractional)
Ba1 0.500 0.500 0.500
Cu1 0.000 0.000 0.000
Cu2 0.750 0.750 0.750
Pb1 0.250 0.250 0.250

Computed properties:
As for the magnetic moment: 0.00 μB/cell. The mass density is 8.28 Mg/m³. The formation energy comes out at 1.30 eV/f.u.



Q: Which of these has the highest magnetic moment?
A: BaCuPS2